## TbHoGe4 (GGA-PBE)

Data for crystalline TbHoGe4 at its relaxed geometry.

Lattice parameters (Å, degrees): 3.924 4.052 16.162 90.00 90.00 90.00
Space group Amm2 (No. 38)
Symmetry-distinct sites (fractional):
Tb: 0.000 0.000 0.000 (multiplicity 2)
Ho: 0.500 0.000 0.207 (multiplicity 2)
Ge: 0.000 0.000 0.356 (multiplicity 2)
Ge: 0.000 0.000 0.657 (multiplicity 2)
Ge: 0.500 0.000 0.554 (multiplicity 2)
Ge: 0.500 0.000 0.850 (multiplicity 2)

Output
calculated volume: 257.0 Å³ per cell
crystal system: orthorhombic
calculated total energy: -5.230 eV/atom



## HoTcGe (GGA-PBE)

Data for crystalline HoTcGe at its relaxed geometry.

Lattice parameters (Å, degrees): 6.299 6.299 6.299 90.00 90.00 90.00
Space group F-43m (No. 216)
Symmetry-distinct sites (fractional):
Ho: 0.000 0.000 0.000 (multiplicity 4)
Tc: 0.000 0.000 0.500 (multiplicity 4)
Ge: 0.250 0.250 0.250 (multiplicity 4)

Output
calculated volume: 250.0 Å³ per cell
crystal system: cubic
calculated total energy: -6.569 eV/atom